[1]
# LaAl2Te2 (PBE, relaxed)
data_LaAl2Te2
_chemical_formula_sum 'La2 Al4 Te4'
_cell_length_a 3.935
_cell_length_b 3.935
_cell_length_c 18.032
_cell_angle_alpha 90.00
_cell_angle_beta 90.00
_cell_angle_gamma 90.00
_symmetry_space_group_name_H-M 'I 4/m m m'
_symmetry_Int_Tables_number 139
_symmetry_space_group_name_Hall '-I 4 2'
loop_
_atom_site_label
_atom_site_fract_x
_atom_site_fract_y
_atom_site_fract_z
La1 0.000 0.000 0.000
Al1 0.000 0.500 0.250
Te1 0.000 0.000 0.397
# ΔE to the lowest computed polymorph = 0.0000 eV per atom
# E_form (uncorrected) = -555 meV per atom

---

[2]
# Nd3Mg4Ga4 (PBE, relaxed)
data_Nd3Mg4Ga4
_chemical_formula_sum 'Nd6 Mg8 Ga8'
_cell_length_a 4.586
_cell_length_b 7.360
_cell_length_c 15.209
_cell_angle_alpha 90.00
_cell_angle_beta 90.00
_cell_angle_gamma 90.00
_symmetry_space_group_name_H-M 'I m m m'
_symmetry_Int_Tables_number 71
_symmetry_space_group_name_Hall '-I 2 2'
loop_
_atom_site_label
_atom_site_fract_x
_atom_site_fract_y
_atom_site_fract_z
Nd1 0.000 0.000 0.000
Nd2 0.000 0.500 0.120
Mg1 0.000 0.304 0.329
Ga1 0.000 0.000 0.217
Ga2 0.000 0.183 0.500
# Formation energy from the elements = -0.45 eV/atom

---

[3]
# TbY2Tm6Sc3 (PBE, relaxed)
data_TbY2Tm6Sc3
_chemical_formula_sum 'Tb2 Y4 Tm12 Sc6'
_cell_length_a 5.996
_cell_length_b 10.377
_cell_length_c 11.408
_cell_angle_alpha 90.00
_cell_angle_beta 100.07
_cell_angle_gamma 90.00
_symmetry_space_group_name_H-M 'C 1 2/m 1'
_symmetry_Int_Tables_number 12
loop_
_symmetry_equiv_pos_as_xyz
'x,y,z'
'-x,-y,-z'
'-x,y,-z'
'x,-y,z'
'x+1/2,y+1/2,z'
'-x+1/2,-y+1/2,-z'
'-x+1/2,y+1/2,-z'
'x+1/2,-y+1/2,z'
loop_
_atom_site_label
_atom_site_fract_x
_atom_site_fract_y
_atom_site_fract_z
Tb1 0.000 0.000 0.000
Y1 0.000 0.333 0.000
Tm1 0.246 0.000 0.740
Tm2 0.247 0.334 0.740
Sc1 0.000 0.167 0.500
Sc2 0.000 0.500 0.500
# Formation energy from the elements = 0.05 eV/atom

---

Number 1: DOS at the Fermi energy 1.14 states/eV/f.u., E -4.294 eV/atom. Number 2: DOS at the Fermi energy 5.52 states/eV/f.u., E -3.433 eV/atom. Number 3: DOS at the Fermi energy 18.88 states/eV/f.u., E -5.234 eV/atom.